No. 1
Entry from Alexandria: a relaxed structure of NaTaIn4O8 (PBE-GGA).

## Properties
Total energy ... -87.35 eV/cell

a = 6.550 Å, b = 6.550 Å, c = 6.700 Å
α = 60.74°, β = 60.74°, γ = 60.00°
Atoms (fractional coordinates):
O1 0.742 0.742 0.287
O2 0.733 0.256 0.755
O3 0.742 0.229 0.287
O4 0.256 0.256 0.755
O5 0.256 0.733 0.755
O6 0.271 0.271 0.187
O7 0.229 0.742 0.287
O8 0.758 0.758 0.726
In1 0.624 0.624 0.128
In2 0.005 0.005 0.493
In3 0.005 0.497 0.493
In4 0.497 0.005 0.493
Ta1 0.384 0.384 0.849
Na1 0.998 0.998 0.007


No. 2
Entry from Alexandria: a relaxed structure of NaTbIn4O8 (PBE-GGA).

## Properties
Total energy ... -82.84 eV/cell

a = 6.604 Å, b = 6.604 Å, c = 6.546 Å
α = 59.71°, β = 59.71°, γ = 60.00°
Atoms (fractional coordinates):
O1 0.781 0.251 0.716
O2 0.749 0.225 0.278
O3 0.242 0.242 0.273
O4 0.754 0.754 0.739
O5 0.749 0.749 0.278
O6 0.251 0.781 0.716
O7 0.251 0.251 0.716
O8 0.225 0.749 0.278
In1 0.001 0.001 0.501
In2 0.001 0.498 0.501
In3 0.617 0.617 0.150
In4 0.498 0.001 0.501
Tb1 0.381 0.381 0.856
Na1 0.001 0.001 0.998


No. 3
Entry from Alexandria: a relaxed structure of Na3Tb2InO6 (PBE-GGA).

## Properties
Total energy ... -74.18 eV/cell

a = 5.873 Å, b = 5.873 Å, c = 5.932 Å
α = 99.43°, β = 99.43°, γ = 120.03°
Atoms (fractional coordinates):
Na1 0.840 0.160 0.500
Na2 0.160 0.840 0.500
Na3 0.500 0.500 0.500
Tb1 0.333 0.667 0.000
Tb2 0.667 0.333 0.000
O1 0.071 0.398 0.215
O2 0.602 0.929 0.785
O3 0.743 0.743 0.213
O4 0.398 0.071 0.215
O5 0.929 0.602 0.785
O6 0.257 0.257 0.787
In1 0.000 0.000 0.000


No. 4
Entry from Alexandria: a relaxed structure of Na2InTcO6 (PBE-GGA).

## Properties
Total energy ... -60.03 eV/cell

a = 5.607 Å, b = 5.606 Å, c = 5.606 Å
α = 59.99°, β = 60.00°, γ = 59.99°
Atoms (fractional coordinates):
Na1 0.559 0.559 0.322
Na2 0.072 0.072 0.783
O1 0.468 0.630 0.813
O2 0.090 0.467 0.813
O3 0.165 0.003 0.290
O4 0.630 0.089 0.814
O5 0.543 0.165 0.289
O6 0.003 0.544 0.289
Tc1 0.316 0.316 0.051
In1 0.816 0.816 0.552


No. 5
Entry from Alexandria: a relaxed structure of Na3In3TcO8 (PBE-GGA).

## Properties
Total energy ... -85.68 eV/cell

a = 6.515 Å, b = 6.515 Å, c = 6.705 Å
α = 119.08°, β = 90.00°, γ = 120.00°
Atoms (fractional coordinates):
O1 0.780 0.022 0.302
O2 0.780 0.559 0.302
O3 0.737 0.474 0.711
O4 0.243 0.022 0.302
O5 0.220 0.441 0.698
O6 0.220 0.978 0.698
O7 0.263 0.526 0.289
O8 0.757 0.978 0.698
Tc1 0.000 0.000 0.500
In1 0.500 0.000 0.500
In2 0.000 0.500 0.500
In3 0.500 0.500 0.500
Na1 0.500 0.500 0.000
Na2 0.000 0.000 0.000
Na3 0.000 0.500 0.000


No. 6
Entry from Alexandria: a relaxed structure of NaInTe2O8 (PBE-GGA).

## Properties
Total energy ... -61.88 eV/cell

a = 5.923 Å, b = 5.923 Å, c = 6.638 Å
α = 90.00°, β = 90.00°, γ = 120.00°
Atoms (fractional coordinates):
O1 0.333 0.667 0.869
O2 0.161 0.839 0.230
O3 0.161 0.321 0.230
O4 0.839 0.679 0.770
O5 0.321 0.161 0.770
O6 0.679 0.839 0.230
O7 0.839 0.161 0.770
O8 0.667 0.333 0.131
Te1 0.667 0.333 0.859
Te2 0.333 0.667 0.141
In1 0.000 0.000 0.000
Na1 0.000 0.000 0.500


No. 7
Entry from Alexandria: a relaxed structure of NaInTeO2 (PBE-GGA).

## Properties
Total energy ... -18.39 eV/cell

a = 4.176 Å, b = 6.928 Å, c = 4.176 Å
α = 90.00°, β = 90.00°, γ = 90.00°
Atoms (fractional coordinates):
O1 0.500 0.000 0.000
O2 0.000 0.000 0.500
In1 0.000 0.000 0.000
Te1 0.500 0.500 0.500
Na1 0.000 0.500 0.000


No. 8
Entry from Alexandria: a relaxed structure of NaInTe2O6 (PBE-GGA).

## Properties
Total energy ... -427.08 eV/cell

a = 8.373 Å, b = 10.824 Å, c = 13.884 Å
α = 90.00°, β = 90.00°, γ = 90.00°
Atoms (fractional coordinates):
In1 0.293 0.504 0.485
In2 0.707 0.496 0.515
In3 0.207 0.004 0.515
In4 0.293 0.004 0.015
In5 0.207 0.504 0.985
In6 0.793 0.996 0.485
In7 0.793 0.496 0.015
In8 0.707 0.996 0.985
O1 0.840 0.451 0.170
O2 0.160 0.049 0.670
O3 0.592 0.317 0.268
O4 0.684 0.169 0.442
O5 0.768 0.021 0.137
O6 0.408 0.183 0.768
O7 0.684 0.669 0.058
O8 0.604 0.365 0.033
O9 0.604 0.865 0.467
O10 0.768 0.521 0.363
O11 0.092 0.683 0.232
O12 0.396 0.635 0.967
O13 0.184 0.331 0.442
O14 0.500 0.127 0.988
O15 0.896 0.365 0.533
O16 0.232 0.979 0.863
O17 0.908 0.817 0.732
O18 0.000 0.627 0.012
O19 0.000 0.873 0.512
O20 0.816 0.669 0.558
O21 0.000 0.127 0.488
O22 0.408 0.683 0.732
O23 0.500 0.373 0.488
O24 0.660 0.951 0.830
O25 0.160 0.549 0.830
O26 0.340 0.049 0.170
O27 0.184 0.831 0.058
O28 0.896 0.865 0.967
O29 0.104 0.135 0.033
O30 0.316 0.331 0.942
O31 0.104 0.635 0.467
O32 0.908 0.317 0.768
O33 0.660 0.451 0.670
O34 0.592 0.817 0.232
O35 0.732 0.521 0.863
O36 0.732 0.021 0.637
O37 0.396 0.135 0.533
O38 0.268 0.979 0.363
O39 0.268 0.479 0.137
O40 0.500 0.873 0.012
O41 0.232 0.479 0.637
O42 0.816 0.169 0.942
O43 0.340 0.549 0.330
O44 0.500 0.627 0.512
O45 0.092 0.183 0.268
O46 0.316 0.831 0.558
O47 0.000 0.373 0.988
O48 0.840 0.951 0.330
Te1 0.347 0.519 0.753
Te2 0.533 0.281 0.919
Te3 0.033 0.219 0.919
Te4 0.533 0.781 0.581
Te5 0.153 0.519 0.253
Te6 0.467 0.719 0.081
Te7 0.653 0.981 0.253
Te8 0.967 0.781 0.081
Te9 0.967 0.281 0.419
Te10 0.347 0.019 0.747
Te11 0.153 0.019 0.247
Te12 0.847 0.481 0.747
Te13 0.033 0.719 0.581
Te14 0.467 0.219 0.419
Te15 0.653 0.481 0.247
Te16 0.847 0.981 0.753
Na1 0.606 0.731 0.858
Na2 0.394 0.269 0.142
Na3 0.606 0.231 0.642
Na4 0.106 0.269 0.642
Na5 0.394 0.769 0.358
Na6 0.894 0.731 0.358
Na7 0.106 0.769 0.858
Na8 0.894 0.231 0.142


No. 9
Entry from Alexandria: a relaxed structure of Na2InTeO4 (PBE-GGA).

## Properties
Total energy ... -76.76 eV/cell

a = 6.556 Å, b = 6.556 Å, c = 6.736 Å
α = 115.29°, β = 115.29°, γ = 88.42°
Atoms (fractional coordinates):
O1 0.273 0.291 0.526
O2 0.190 0.710 0.916
O3 0.210 0.690 0.416
O4 0.209 0.227 0.974
O5 0.810 0.290 0.084
O6 0.727 0.709 0.474
O7 0.791 0.773 0.026
O8 0.790 0.310 0.584
Na1 0.500 0.000 0.000
Na2 0.500 0.500 0.000
Na3 0.000 0.000 0.500
Na4 0.500 0.000 0.500
Te1 0.000 0.000 0.000
Te2 0.500 0.500 0.500
In1 0.000 0.500 0.500
In2 0.000 0.500 0.000


No. 10
Entry from Alexandria: a relaxed structure of NaIn2TeO6 (PBE-GGA).

## Properties
Total energy ... -53.36 eV/cell

a = 5.639 Å, b = 5.639 Å, c = 5.957 Å
α = 61.75°, β = 61.75°, γ = 60.00°
Atoms (fractional coordinates):
O1 0.238 0.931 0.230
O2 0.155 0.379 0.769
O3 0.697 0.155 0.769
O4 0.379 0.696 0.769
O5 0.601 0.238 0.230
O6 0.931 0.601 0.230
Na1 0.798 0.798 0.606
In1 0.015 0.015 0.955
In2 0.527 0.527 0.418
Te1 0.321 0.321 0.037


No. 11
Entry from Alexandria: a relaxed structure of NaTiIn4O8 (PBE-GGA).

## Properties
Total energy ... -84.58 eV/cell

a = 6.527 Å, b = 6.527 Å, c = 6.445 Å
α = 59.58°, β = 59.58°, γ = 60.00°
Atoms (fractional coordinates):
O1 0.264 0.730 0.743
O2 0.226 0.750 0.274
O3 0.264 0.264 0.743
O4 0.750 0.226 0.274
O5 0.757 0.757 0.729
O6 0.730 0.264 0.743
O7 0.750 0.750 0.274
O8 0.254 0.254 0.237
In1 0.503 0.001 0.495
In2 0.001 0.503 0.495
In3 0.001 0.001 0.495
In4 0.619 0.619 0.142
Ti1 0.381 0.381 0.858
Na1 0.001 0.001 0.996


No. 12
Entry from Alexandria: a relaxed structure of Na2TiIn2O6 (PBE-GGA).

## Properties
Total energy ... -67.26 eV/cell

a = 5.501 Å, b = 5.501 Å, c = 5.896 Å
α = 98.91°, β = 98.91°, γ = 119.30°
Atoms (fractional coordinates):
In1 0.665 0.335 0.500
In2 0.335 0.665 0.500
O1 0.058 0.371 0.698
O2 0.629 0.942 0.302
O3 0.763 0.763 0.694
O4 0.371 0.058 0.698
O5 0.942 0.629 0.302
O6 0.237 0.237 0.306
Na1 0.834 0.166 0.000
Na2 0.166 0.834 0.000
Ti1 0.000 0.000 0.500


> Which of these has the highest total energy?

NaInTeO2


> What is the total energy in the second record?

-82.84 eV/cell